No. 1
Entry from Alexandria: an optimized crystal structure of TiGaCu2I (PBE).

It has space group P4/mmm (No. 123), with a = 4.860 Å, b = 4.860 Å, c = 5.144 Å, α = 90.00°, β = 90.00° and γ = 90.00°. The distinct sites, in fractional coordinates, are Ti at (0.000, 0.000, 0.000), Ga at (0.500, 0.500, 0.000), Cu at (0.000, 0.500, 0.500) and I at (0.000, 0.000, 0.500).

The energy relative to the elements, uncorrected is 24.240 kcal/mol of atoms. For the total energy, the calculation gives -3.0817 eV/atom.

---

No. 2
Entry from Alexandria: an optimized crystal structure of YMg2Cu (PBE).

It has space group P6_3/mmc (No. 194), with a = 5.1000 Å, b = 5.1000 Å, c = 7.8334 Å, α = 90.00°, β = 90.00° and γ = 120.00°. The distinct sites, in fractional coordinates, are Y at (0.0000, 0.0000, 0.0000), Mg at (0.3333, 0.6667, 0.0826) and Cu at (0.3333, 0.6667, 0.7500).

The value obtained for the formation energy from the elements is 0.204 eV/atom. For the total energy, the calculation gives -3.2337 eV/atom.

---

No. 3
Entry from Alexandria: an optimized crystal structure of TlNiSb3 (PBE).

It has space group Pm-3m (No. 221), with a = 5.634 Å, b = 5.634 Å, c = 5.634 Å, α = 90.00°, β = 90.00° and γ = 90.00°. The distinct sites, in fractional coordinates, are Tl at (0.000, 0.000, 0.000), Ni at (0.500, 0.500, 0.500) and Sb at (0.000, 0.000, 0.500).

The energy above the lowest structure with this stoichiometry comes out at 6.137 eV per formula unit. The energy relative to the elements, uncorrected is 34.029 kcal/mol of atoms. For the total energy, the calculation gives -2.6273 eV/atom.

---

No. 4
Entry from Alexandria: an optimized crystal structure of Ca3VSb (PBE).

It has space group Pm-3m (No. 221), with a = 5.878 Å, b = 5.878 Å, c = 5.878 Å, α = 90.00°, β = 90.00° and γ = 90.00°. The distinct sites, in fractional coordinates, are Ca at (0.000, 0.000, 0.500), V at (0.500, 0.500, 0.500) and Sb at (0.000, 0.000, 0.000).

The energy above the lowest structure with this stoichiometry comes out at 0.000 eV per formula unit. The energy relative to the elements, uncorrected is 6.942 kcal/mol of atoms. For the total energy, the calculation gives -3.5481 eV/atom.

---

No. 5
Entry from Alexandria: an optimized crystal structure of K3Pm2DyS6 (PBE).

It has space group C2/m (No. 12), with a = 7.149 Å, b = 12.383 Å, c = 7.765 Å, α = 90.00°, β = 107.88° and γ = 90.00°. The distinct sites, in fractional coordinates, are K at (0.000, 0.000, 0.000), K at (0.000, 0.333, 0.000), Pm at (0.000, 0.167, 0.500), Dy at (0.000, 0.500, 0.500), S at (0.232, 0.337, 0.705) and S at (0.241, 0.000, 0.705).

The energy relative to the elements, uncorrected is -43.126 kcal/mol of atoms. For the total energy, the calculation gives -5.3835 eV/atom.

---

No. 6
Entry from Alexandria: an optimized crystal structure of Er2ZrTl (PBE).

It has space group R-3m (No. 166, hexagonal axes), with a = 3.4513 Å, b = 3.4513 Å, c = 31.7086 Å, α = 90.00°, β = 90.00° and γ = 120.00°. The distinct sites, in fractional coordinates, are Er at (0.0000, 0.0000, 0.2491), Zr at (0.0000, 0.0000, 0.5000) and Tl at (0.0000, 0.0000, 0.0000).

The energy above the lowest structure with this stoichiometry comes out at 0.240 eV per formula unit. The value obtained for the formation energy from the elements is -0.077 eV/atom. For the total energy, the calculation gives -5.0875 eV/atom.

---

No. 7
Entry from Alexandria: an optimized crystal structure of CoCuPS2 (PBE).

It has space group P4/mmm (No. 123), with a = 4.593 Å, b = 4.593 Å, c = 4.089 Å, α = 90.00°, β = 90.00° and γ = 90.00°. The distinct sites, in fractional coordinates, are Co at (0.000, 0.000, 0.000), Cu at (0.500, 0.500, 0.500), P at (0.000, 0.000, 0.500) and S at (0.000, 0.500, 0.000).

The energy above the lowest structure with this stoichiometry comes out at 0.000 eV per formula unit. The energy relative to the elements, uncorrected is 14.706 kcal/mol of atoms. For the total energy, the calculation gives -4.3356 eV/atom.

---

No. 8
Entry from Alexandria: an optimized crystal structure of Ca4CdHg (PBE).

It has space group C2/m (No. 12), with a = 7.560 Å, b = 7.560 Å, c = 7.582 Å, α = 90.00°, β = 90.09° and γ = 90.00°. The distinct sites, in fractional coordinates, are Ca at (0.250, 0.250, 0.246), Cd at (0.000, 0.000, 0.500) and Hg at (0.000, 0.500, 0.000).

The energy above the lowest structure with this stoichiometry comes out at 0.787 eV per formula unit. The value obtained for the formation energy from the elements is -0.189 eV/atom. For the total energy, the calculation gives -1.7257 eV/atom.

---

No. 9
Entry from Alexandria: an optimized crystal structure of LiSi2Hg (PBE).

It has space group R-3m (No. 166, hexagonal axes), with a = 2.8427 Å, b = 2.8427 Å, c = 30.8371 Å, α = 90.00°, β = 90.00° and γ = 120.00°. The distinct sites, in fractional coordinates, are Li at (0.0000, 0.0000, 0.0000), Si at (0.0000, 0.0000, 0.2618) and Hg at (0.0000, 0.0000, 0.5000).

The energy relative to the elements, uncorrected is 7.168 kcal/mol of atoms. For the total energy, the calculation gives -2.9546 eV/atom.

---

No. 10
Entry from Alexandria: an optimized crystal structure of CaTa2Al (PBE).

It has space group Cm (No. 8), with a = 9.549 Å, b = 2.957 Å, c = 6.042 Å, α = 90.00°, β = 96.17° and γ = 90.00°. The distinct sites, in fractional coordinates, are Ca at (0.000, 0.000, 0.000), Ta at (0.229, 0.000, 0.681), Ta at (0.493, 0.000, 0.499) and Al at (0.256, 0.500, 0.286).

The value obtained for the formation energy from the elements is 0.317 eV/atom. For the total energy, the calculation gives -7.0454 eV/atom.

---

No. 11
Entry from Alexandria: an optimized crystal structure of Tm3UO8 (PBE).

It has space group Pm-3m (No. 221), with a = 5.294 Å, b = 5.294 Å, c = 5.294 Å, α = 90.00°, β = 90.00° and γ = 90.00°. The distinct sites, in fractional coordinates, are Tm at (0.000, 0.000, 0.500), U at (0.500, 0.500, 0.500) and O at (0.258, 0.258, 0.258).

The energy relative to the elements, uncorrected is -76.708 kcal/mol of atoms. For the total energy, the calculation gives -8.6904 eV/atom.

---

No. 12
Entry from Alexandria: an optimized crystal structure of Pr2CrFeN5 (PBE).

It has space group Cmc2_1 (No. 36), with a = 3.326 Å, b = 14.048 Å, c = 9.715 Å, α = 90.00°, β = 90.00° and γ = 90.00°. The distinct sites, in fractional coordinates, are Pr at (0.000, 0.129, 0.000), Pr at (0.000, 0.131, 0.628), Cr at (0.000, 0.427, 0.778), Fe at (0.000, 0.206, 0.339), N at (0.000, 0.056, 0.362), N at (0.000, 0.299, 0.963), N at (0.000, 0.309, 0.704), N at (0.000, 0.340, 0.324) and N at (0.000, 0.491, 0.630).

The energy relative to the elements, uncorrected is -14.917 kcal/mol of atoms. For the total energy, the calculation gives -8.3437 eV/atom.

---

No. 13
Entry from Alexandria: an optimized crystal structure of AlCr2ReI (PBE).

It has space group P4/mmm (No. 123), with a = 4.864 Å, b = 4.864 Å, c = 4.672 Å, α = 90.00°, β = 90.00° and γ = 90.00°. The distinct sites, in fractional coordinates, are Al at (0.000, 0.000, 0.000), Cr at (0.000, 0.500, 0.000), Re at (0.000, 0.000, 0.500) and I at (0.500, 0.500, 0.500).

The energy relative to the elements, uncorrected is 34.547 kcal/mol of atoms. For the total energy, the calculation gives -5.8994 eV/atom.

---

No. 14
Entry from Alexandria: an optimized crystal structure of TaBe2Ir (PBE).

It has space group P4mm (No. 99), with a = 2.868 Å, b = 2.868 Å, c = 6.063 Å, α = 90.00°, β = 90.00° and γ = 90.00°. The distinct sites, in fractional coordinates, are Ta at (0.000, 0.000, 0.000), Be at (0.000, 0.000, 0.481), Be at (0.500, 0.500, 0.288) and Ir at (0.500, 0.500, 0.689).

The value obtained for the formation energy from the elements is -0.306 eV/atom. For the total energy, the calculation gives -7.3472 eV/atom.

---

No. 15
Entry from Alexandria: an optimized crystal structure of TlGeOs3 (PBE).

It has space group Pm-3m (No. 221), with a = 4.578 Å, b = 4.578 Å, c = 4.578 Å, α = 90.00°, β = 90.00° and γ = 90.00°. The distinct sites, in fractional coordinates, are Tl at (0.000, 0.000, 0.000), Ge at (0.500, 0.500, 0.500) and Os at (0.000, 0.500, 0.500).

The energy above the lowest structure with this stoichiometry comes out at 0.000 eV per formula unit. The value obtained for the formation energy from the elements is 1.674 eV/atom. For the total energy, the calculation gives -6.4606 eV/atom.

---

No. 16
Entry from Alexandria: an optimized crystal structure of AlOsAu2 (PBE).

It has space group Cm (No. 8), with a = 10.262 Å, b = 2.863 Å, c = 4.937 Å, α = 90.00°, β = 117.18° and γ = 90.00°. The distinct sites, in fractional coordinates, are Al at (0.000, 0.000, 0.000), Os at (0.274, 0.000, 0.927), Au at (0.013, 0.500, 0.539) and Au at (0.244, 0.500, 0.388).

The value obtained for the formation energy from the elements is 0.130 eV/atom. For the total energy, the calculation gives -5.2522 eV/atom.

---

No. 17
Entry from Alexandria: an optimized crystal structure of Ti2CoNi (PBE).

It has space group Imm2 (No. 44), with a = 7.723 Å, b = 7.753 Å, c = 10.935 Å, α = 90.00°, β = 90.00° and γ = 90.00°. The distinct sites, in fractional coordinates, are Ti at (0.000, 0.000, 0.000), Ti at (0.000, 0.000, 0.393), Ti at (0.000, 0.500, 0.148), Ti at (0.000, 0.500, 0.749), Ti at (0.199, 0.195, 0.194), Ti at (0.200, 0.300, 0.947), Co at (0.000, 0.251, 0.573), Co at (0.171, 0.500, 0.532), Co at (0.249, 0.000, 0.823), Ni at (0.000, 0.173, 0.783), Ni at (0.000, 0.329, 0.361) and Ni at (0.174, 0.000, 0.610).

The value obtained for the formation energy from the elements is -0.297 eV/atom. For the total energy, the calculation gives -7.4658 eV/atom.

---

No. 18
Entry from Alexandria: an optimized crystal structure of TlCd2IrO8 (PBE).

It has space group P2/m (No. 10), with a = 4.863 Å, b = 6.965 Å, c = 5.034 Å, α = 90.00°, β = 94.56° and γ = 90.00°. The distinct sites, in fractional coordinates, are Tl at (0.000, 0.000, 0.000), Cd at (0.500, 0.253, 0.500), Ir at (0.000, 0.500, 0.000), O at (0.201, 0.305, 0.845), O at (0.258, 0.500, 0.301) and O at (0.279, 0.000, 0.319).

The energy relative to the elements, uncorrected is -12.572 kcal/mol of atoms. For the total energy, the calculation gives -4.9388 eV/atom.

---

No. 19
Entry from Alexandria: an optimized crystal structure of ErZrGaAg (PBE).

It has space group F-43m (No. 216), with a = 6.985 Å, b = 6.985 Å, c = 6.985 Å, α = 90.00°, β = 90.00° and γ = 90.00°. The distinct sites, in fractional coordinates, are Er at (0.000, 0.000, 0.000), Zr at (0.000, 0.000, 0.500), Ga at (0.250, 0.250, 0.750) and Ag at (0.250, 0.250, 0.250).

The value obtained for the formation energy from the elements is -0.313 eV/atom. For the total energy, the calculation gives -5.0600 eV/atom.

---

No. 20
Entry from Alexandria: an optimized crystal structure of Zn2Ga2Cu (PBE).

It has space group P4/mbm (No. 127), with a = 6.461 Å, b = 6.461 Å, c = 3.980 Å, α = 90.00°, β = 90.00° and γ = 90.00°. The distinct sites, in fractional coordinates, are Zn at (0.159, 0.341, 0.000), Ga at (0.148, 0.648, 0.500) and Cu at (0.000, 0.000, 0.500).

The energy above the lowest structure with this stoichiometry comes out at 0.253 eV per formula unit. The value obtained for the formation energy from the elements is 0.103 eV/atom. For the total energy, the calculation gives -2.4362 eV/atom.

---

Here are the calculated DOS at the Fermi energy numbers, same order: 4.0; 3.5; 6.0; 4.1; 0.0; 13.3; 5.4; 16.2; 5.3; 6.2; 7.3; 13.8; 3.4; 2.8; 5.5; 6.4; 57.4; 1.9; 10.2; 3.0 (states/eV/cell).